A plane-wave DFT calculation with GGA-PBE was carried out for crystalline NaZnPb2 at its relaxed geometry.

abc: 4.7634 4.7634 17.7607
angles: 90.00 90.00 120.00
Space group R3m (No. 160, hexagonal axes)
Inequivalent atoms, fractional coordinates:
1 Na 0.0000 0.0000 0.0000
2 Zn 0.0000 0.0000 0.8187
3 Pb 0.0000 0.0000 0.2194
4 Pb 0.0000 0.0000 0.4321

**Calculated total energy**: -2.488 eV/atom
**Volume**: 29.08 A^3/atom
**Total magnetic moment**: 0.00 μB/f.u.
**E_form**: 0.0148 eV per atom

A plane-wave DFT calculation with GGA-PBE was carried out for crystalline CaSnPb at its relaxed geometry.

abc: 5.439 9.403 7.093
angles: 90.00 90.00 90.00
Space group Cmcm (No. 63)
Inequivalent atoms, fractional coordinates:
1 Ca 0.000 0.000 0.000
2 Sn 0.000 0.333 0.250
3 Pb 0.000 0.333 0.750

**Calculated total energy**: -3.591 eV/atom
**Offset from the most stable computed form**: 0.009 eV per atom
**Volume**: 30.22 A^3/atom
**Total magnetic moment**: 0.00 μB/f.u.
**E_form**: -0.3533 eV per atom

A plane-wave DFT calculation with GGA-PBE was carried out for crystalline CsSc3Ir at its relaxed geometry.

abc: 5.268 5.268 5.268
angles: 90.00 90.00 90.00
Space group Pm-3m (No. 221)
Inequivalent atoms, fractional coordinates:
1 Cs 0.000 0.000 0.000
2 Sc 0.000 0.500 0.500
3 Ir 0.500 0.500 0.500

**Calculated total energy**: -5.757 eV/atom
**Offset from the most stable computed form**: 0.000 eV per atom
**Volume**: 29.24 A^3/atom
**Total magnetic moment**: 0.00 μB/f.u.
**E_form**: -0.0147 eV per atom

A plane-wave DFT calculation with GGA-PBE was carried out for crystalline La6Tb5Er at its relaxed geometry.

abc: 17.865 7.401 6.237
angles: 90.00 92.15 90.00
Space group C2/m (No. 12)
Inequivalent atoms, fractional coordinates:
1 La 0.000 0.249 0.000
2 La 0.166 0.250 0.666
3 Tb 0.000 0.500 0.500
4 Tb 0.167 0.000 0.167
5 Tb 0.167 0.500 0.166
6 Er 0.000 0.000 0.500

**Calculated total energy**: -4.750 eV/atom
**Offset from the most stable computed form**: 0.004 eV per atom
**Volume**: 34.34 A^3/atom
**Total magnetic moment**: 0.00 μB/f.u.
**E_form**: 0.0227 eV per atom

A plane-wave DFT calculation with GGA-PBE was carried out for crystalline KLi2Tc at its relaxed geometry.

abc: 6.883 8.364 2.669
angles: 90.00 90.23 90.00
Space group C2/m (No. 12)
Inequivalent atoms, fractional coordinates:
1 K 0.000 0.000 0.000
2 Li 0.250 0.250 0.500
3 Tc 0.000 0.500 0.000

**Calculated total energy**: -3.048 eV/atom
**Offset from the most stable computed form**: 0.123 eV per atom
**Volume**: 19.20 A^3/atom
**Total magnetic moment**: 1.07 μB/f.u.
**E_form**: 0.7745 eV per atom

A plane-wave DFT calculation with GGA-PBE was carried out for crystalline Ba2Si3Pd12Au at its relaxed geometry.

abc: 8.4703 8.4703 18.6873
angles: 90.00 90.00 120.00
Space group R-3m (No. 166, hexagonal axes)
Inequivalent atoms, fractional coordinates:
1 Ba 0.0000 0.0000 0.1104
2 Si 0.0000 0.5000 0.0000
3 Pd 0.0043 0.5022 0.8777
4 Pd 0.0468 0.5234 0.3623
5 Au 0.0000 0.0000 0.5000

**Calculated total energy**: -5.008 eV/atom
**Volume**: 21.50 A^3/atom
**Total magnetic moment**: 0.00 μB/f.u.

A plane-wave DFT calculation with GGA-PBE was carried out for crystalline PrPaAl2 at its relaxed geometry.

abc: 7.346 7.346 7.346
angles: 90.00 90.00 90.00
Space group Fm-3m (No. 225)
Inequivalent atoms, fractional coordinates:
1 Pr 0.000 0.000 0.000
2 Pa 0.000 0.000 0.500
3 Al 0.250 0.250 0.250

**Calculated total energy**: -5.471 eV/atom
**Offset from the most stable computed form**: 0.159 eV per atom
**Volume**: 24.77 A^3/atom
**Total magnetic moment**: 1.46 μB/f.u.
**E_form**: -0.0307 eV per atom

A plane-wave DFT calculation with GGA-PBE was carried out for crystalline Nd3Er4Tm2 at its relaxed geometry.

abc: 16.571 11.625 6.016
angles: 90.00 97.73 90.00
Space group C2/c (No. 15)
Inequivalent atoms, fractional coordinates:
1 Nd 0.000 0.106 0.250
2 Nd 0.167 0.393 0.083
3 Er 0.050 0.368 0.521
4 Er 0.216 0.131 0.355
5 Tm 0.116 0.133 0.813

**Calculated total energy**: -4.507 eV/atom
**Offset from the most stable computed form**: 0.083 eV per atom
**Volume**: 31.90 A^3/atom
**Total magnetic moment**: 0.00 μB/f.u.
**E_form**: 0.1043 eV per atom

no.,density (g cm⁻³)
1,7.177
2,6.702
3,5.225
4,7.235
5,3.264
6,7.864
7,7.137
8,8.328